Record 1
VASP calculation (PBE-GGA) on an optimized crystal structure of GaSnSe3.

E, eV per atom: -3.33
Energy above the lowest structure with this stoichiometry, meV per atom: 621
Magnetization, μB per formula unit: 0.00

```
5
Lattice="-4.4419 2.7088 -1.0637 -2.7810 -3.3791 3.0078 0.8574 3.0729 4.2451" Properties=species:S:1:pos:R:3 pbc="T T T"
Se -2.2209 1.3544 -0.5318
Se -1.3905 -1.6896 1.5039
Sn 0.0000 0.0000 0.0000
Ga -3.1827 1.2013 3.0946
Se 0.4287 1.5365 2.1226
```

Record 2
VASP calculation (PBE-GGA) on an optimized crystal structure of GaSnSe2.

E, eV per atom: -3.81
Magnetization, μB per formula unit: 0.00

```
4
Lattice="4.0268 0.0000 0.0000 2.0134 3.4873 0.0000 2.0134 1.1624 7.2289" Properties=species:S:1:pos:R:3 pbc="T T T"
Se 2.0134 1.1624 1.7044
Sn 4.0268 2.3249 0.0115
Se 2.0134 1.1624 5.3613
Ga 4.0268 2.3249 3.7661
```

Record 3
VASP calculation (PBE-GGA) on an optimized crystal structure of GaSn3Se.

E, eV per atom: -3.33
Energy above the lowest structure with this stoichiometry, meV per atom: 0
Magnetization, μB per formula unit: 0.00

```
5
Lattice="-4.6289 -2.3151 -1.2798 1.7687 -0.7906 -4.9670 1.9671 -4.7370 1.4545" Properties=species:S:1:pos:R:3 pbc="T T T"
Se -0.4466 -3.9214 -2.3962
Sn 0.8843 -0.3953 -2.4835
Sn -2.3144 -1.1575 -0.6399
Ga 0.0000 0.0000 0.0000
Sn 0.9835 -2.3685 0.7272
```

Record 4
VASP calculation (PBE-GGA) on an optimized crystal structure of GaSnSe2.

E, eV per atom: -3.77
Magnetization, μB per formula unit: 0.00

```
4
Lattice="2.1374 0.0000 8.7146 -1.0687 1.8510 8.7146 -1.0687 -1.8510 8.7146" Properties=species:S:1:pos:R:3 pbc="T T T"
Sn 0.0000 0.0000 0.0000
Se 0.0000 0.0000 23.2481
Se 0.0000 0.0000 2.8959
Ga 0.0000 0.0000 13.0720
```

Number 1: formation energy (no corrections) 0.168 eV per atom. Number 2: formation energy (no corrections) -0.311 eV per atom. Number 3: formation energy (no corrections) 0.379 eV per atom. Number 4: formation energy (no corrections) -0.271 eV per atom.